YScP2: optimized geometry, PBEsol.

Cell and atoms, written as POSCAR:
```
YScP2
1.0
3.8419 0.0000 0.0000
1.9210 3.3272 0.0000
1.9210 1.1091 6.2550
P Sc Y
2 1 1
direct
0.2448 0.2448 0.2657
0.7552 0.7552 0.7343
0.5000 0.5000 0.5000
0.0000 0.0000 0.0000
```

Properties
Uncorrected energy   -7.832 eV per atom
Energy relative to the lowest polymorph listed for this composition   0.0 meV/atom
E_form   -1.5795 eV per atom